1.
Material: Sc2Ag2Se
Method: DFT, GGA-PBE
State: relaxed

a = 7.1688 Å, b = 7.1688 Å, c = 4.2341 Å
α = 90.00°, β = 90.00°, γ = 90.00°
Closest atoms and distances in Å follow each position.
Space group P4/mbm (No. 127)
Asymmetric unit:
Sc: 0.1669 0.3331 0.0000 [4 per cell]  2 Se 2.67, 2 Ag 2.92
Ag: 0.1343 0.6343 0.5000 [4 per cell]  1 Ag 2.72, 6 Sc 2.92-3.03
Se: 0.0000 0.0000 0.0000 [2 per cell]  4 Sc 2.67

Calculated values
- E (Ry per atom) = -0.357
- density (g/cm³) = 5.87
- energy relative to the elements, uncorrected (kcal/mol of atoms) = -11.4
- DOS at the Fermi energy (states/eV/f.u.) = 3.744
- spin magnetization (μB per formula unit) = 0.00
- crystal system = tetragonal

***

2.
Material: Pm3Tm2Tl2
Method: DFT, GGA-PBE
State: relaxed

a = 5.0496 Å, b = 23.5126 Å, c = 3.5657 Å
α = 90.00°, β = 90.00°, γ = 90.00°
Closest atoms and distances in Å follow each position.
Space group Cmmm (No. 65)
Asymmetric unit:
Pm: 0.0000 0.0000 0.0000 [2 per cell]  4 Pm 3.47-3.57, 8 Tl 3.54
Pm: 0.0000 0.1476 0.0000 [4 per cell]  6 Tm 3.46-3.72, 3 Pm 3.47-3.57, 4 Tl 3.55
Tm: 0.0000 0.2866 0.5000 [4 per cell]  2 Tm 3.06, 1 Tl 3.30
Tl: 0.0000 0.4268 0.5000 [4 per cell]  1 Tm 3.30, 3 Tl 3.44-3.57, 8 Pm 3.54-3.55

Calculated values
- formation energy (eV/atom) = -0.104
- E (Ry per atom) = -0.301
- density (g/cm³) = 9.27
- DOS at the Fermi energy (states/eV/f.u.) = 6.994
- spin magnetization (μB per formula unit) = 0.34
- crystal system = orthorhombic
- polymorph energy (0 for the lowest one) (eV per formula unit) = 0.590